This record from Alexandria via LeMat-Bulk describes BiIO at its PBEsol-relaxed geometry. The functional is SCAN.

Output
VASP energy: -41.414 eV/atom

The structure in CIF format:
```
data_BiIO
_symmetry_space_group_name_H-M 'P 4/n m m'
_symmetry_Int_Tables_number 129
_cell_length_a 3.9752
_cell_length_b 3.9752
_cell_length_c 9.3094
_cell_angle_alpha 90.00
_cell_angle_beta 90.00
_cell_angle_gamma 90.00
loop_
_symmetry_equiv_pos_as_xyz
'x,y,z'
'-x,-y,-z'
'-y+1/2,x,z'
'y+1/2,-x,-z'
'-x+1/2,-y+1/2,z'
'x+1/2,y+1/2,-z'
'y,-x+1/2,z'
'-y,x+1/2,-z'
'x+1/2,-y,-z'
'-x+1/2,y,z'
'-y,-x,-z'
'y,x,z'
'-x,y+1/2,-z'
'x,-y+1/2,z'
'y+1/2,x+1/2,-z'
'-y+1/2,-x+1/2,z'
loop_
_atom_site_label
_atom_site_type_symbol
_atom_site_fract_x
_atom_site_fract_y
_atom_site_fract_z
Bi1 Bi 0.2500 0.2500 0.1320
I1 I 0.2500 0.2500 0.6724
O1 O 0.2500 0.7500 0.0000
```



This record from Alexandria via LeMat-Bulk describes BiPdI2O at its PBEsol-relaxed geometry. The functional is SCAN.

Output
VASP energy: -37.956 eV/atom

The structure in CIF format:
```
data_BiPdI2O
_symmetry_space_group_name_H-M 'P 4/m m m'
_symmetry_Int_Tables_number 123
_symmetry_space_group_name_Hall '-P 4 2'
_cell_length_a 6.0236
_cell_length_b 6.0236
_cell_length_c 4.1869
_cell_angle_alpha 90.00
_cell_angle_beta 90.00
_cell_angle_gamma 90.00
loop_
_atom_site_label
_atom_site_type_symbol
_atom_site_fract_x
_atom_site_fract_y
_atom_site_fract_z
Bi1 Bi 0.0000 0.0000 0.0000
Pd1 Pd 0.5000 0.5000 0.5000
I1 I 0.0000 0.5000 0.0000
O1 O 0.0000 0.0000 0.5000
```